(1)
A relaxed LiMg2Cd crystal. Source: Alexandria, functional PBE.

M_tot: 0.0 μB per cell
formation energy: -0.122 eV per atom
space group: No. 47

Unit cell a=3.8652 b=4.5675 c=4.6804 alpha=90.00 beta=90.00 gamma=90.00
Element x y z (fractional)
Li 0.0000 0.0000 0.0000
Mg 0.0000 0.5000 0.5000
Mg 0.5000 0.5000 0.0000
Cd 0.5000 0.0000 0.5000

(2)
A relaxed Rb3Mn2CuCl8 crystal. Source: Alexandria, functional PBE.

M_tot: 10.0 μB per cell
space group: No. 164
uncorrected formation energy: -1.35 eV/atom

Unit cell a=7.2032 b=7.2032 c=9.2660 alpha=90.00 beta=90.00 gamma=120.00
Element x y z (fractional)
Rb 0.0000 0.0000 0.0000
Rb 0.3333 0.6667 0.6292
Rb 0.6667 0.3333 0.3708
Mn 0.3333 0.6667 0.2193
Mn 0.6667 0.3333 0.7807
Cu 0.0000 0.0000 0.5000
Cl 0.1614 0.3229 0.3279
Cl 0.1614 0.8386 0.3279
Cl 0.3229 0.1614 0.6721
Cl 0.3333 0.6667 0.9723
Cl 0.6667 0.3333 0.0277
Cl 0.6771 0.8386 0.3279
Cl 0.8386 0.1614 0.6721
Cl 0.8386 0.6771 0.6721

(3)
A relaxed AcCe2Rh9 crystal. Source: Alexandria, functional PBE.

M_tot: 0.0 μB per cell
formation energy: -0.544 eV per atom
space group: No. 166

Unit cell a=9.3744 b=9.3744 c=9.3744 alpha=33.02 beta=33.02 gamma=33.02
Element x y z (fractional)
Ac 0.0000 0.0000 0.0000
Ce 0.1390 0.1390 0.1390
Ce 0.8610 0.8610 0.8610
Rh 0.0820 0.5858 0.5858
Rh 0.3331 0.3331 0.3331
Rh 0.4142 0.4142 0.9180
Rh 0.4142 0.9180 0.4142
Rh 0.5000 0.5000 0.5000
Rh 0.5858 0.0820 0.5858
Rh 0.5858 0.5858 0.0820
Rh 0.6669 0.6669 0.6669
Rh 0.9180 0.4142 0.4142

(4)
A relaxed Ho12InFe6 crystal. Source: Alexandria, functional PBE.

M_tot: 6.6 μB per cell
formation energy: -0.092 eV per atom
space group: No. 204

Unit cell a=8.3598 b=8.3598 c=8.3598 alpha=109.47 beta=109.47 gamma=109.47
Element x y z (fractional)
Ho 0.1035 0.2982 0.8053
Ho 0.1947 0.4928 0.2982
Ho 0.1947 0.8965 0.7018
Ho 0.2982 0.1947 0.4928
Ho 0.2982 0.8053 0.1035
Ho 0.4928 0.2982 0.1947
Ho 0.5072 0.7018 0.8053
Ho 0.7018 0.1947 0.8965
Ho 0.7018 0.8053 0.5072
Ho 0.8053 0.1035 0.2982
Ho 0.8053 0.5072 0.7018
Ho 0.8965 0.7018 0.1947
In 0.0000 0.0000 0.0000
Fe 0.1101 0.5000 0.6101
Fe 0.3899 0.8899 0.5000
Fe 0.5000 0.3899 0.8899
Fe 0.5000 0.6101 0.1101
Fe 0.6101 0.1101 0.5000
Fe 0.8899 0.5000 0.3899

(5)
A relaxed Li3SbCl6 crystal. Source: Alexandria, functional PBE.

M_tot: 0.0 μB per cell
space group: No. 225
uncorrected formation energy: -1.15 eV/atom
energy relative to the lowest polymorph listed for this composition: 0.200 eV/atom

Unit cell a=7.2658 b=7.2658 c=7.2658 alpha=60.00 beta=60.00 gamma=60.00
Element x y z (fractional)
Li 0.0000 0.0000 0.0000
Li 0.2500 0.2500 0.2500
Li 0.7500 0.7500 0.7500
Sb 0.5000 0.5000 0.5000
Cl 0.2440 0.2440 0.7560
Cl 0.2440 0.7560 0.2440
Cl 0.2440 0.7560 0.7560
Cl 0.7560 0.2440 0.2440
Cl 0.7560 0.2440 0.7560
Cl 0.7560 0.7560 0.2440

(6)
A relaxed YBe2Ag crystal. Source: Alexandria, functional PBE.

M_tot: 0.0 μB per cell
formation energy: 0.371 eV per atom
space group: No. 123
energy relative to the lowest polymorph listed for this composition: 0.382 eV/atom

Unit cell a=4.3382 b=4.3382 c=3.7153 alpha=90.00 beta=90.00 gamma=90.00
Element x y z (fractional)
Y 0.0000 0.0000 0.0000
Be 0.0000 0.5000 0.5000
Be 0.5000 0.0000 0.5000
Ag 0.5000 0.5000 0.0000

(7)
A relaxed KBaBi3 crystal. Source: Alexandria, functional PBE.

M_tot: 0.0 μB per cell
formation energy: 0.299 eV per atom
space group: No. 221
energy relative to the lowest polymorph listed for this composition: 0.030 eV/atom

Unit cell a=6.4750 b=6.4750 c=6.4750 alpha=90.00 beta=90.00 gamma=90.00
Element x y z (fractional)
K 0.0000 0.0000 0.0000
Ba 0.5000 0.5000 0.5000
Bi 0.0000 0.5000 0.5000
Bi 0.5000 0.0000 0.5000
Bi 0.5000 0.5000 0.0000

(8)
A relaxed CsSO4 crystal. Source: Alexandria, functional PBE.

M_tot: 2.0 μB per cell
space group: No. 11
uncorrected formation energy: -1.43 eV/atom

Unit cell a=5.5166 b=5.9483 c=8.1098 alpha=90.00 beta=109.32 gamma=90.00
Element x y z (fractional)
Cs 0.1198 0.2500 0.2506
Cs 0.8802 0.7500 0.7494
S 0.3922 0.2500 0.7692
S 0.6078 0.7500 0.2308
O 0.2329 0.2500 0.8860
O 0.3314 0.7500 0.1215
O 0.3336 0.0454 0.6577
O 0.3336 0.4546 0.6577
O 0.6664 0.5454 0.3423
O 0.6664 0.9546 0.3423
O 0.6686 0.2500 0.8785
O 0.7671 0.7500 0.1140